No. 1
Computed, not measured: a relaxed structure of Mg3Cd2In8 at the PBE level of DFT.

abc: 4.5072 9.4110 9.4589
angles: 119.81 90.00 90.00
Fractional positions:
Mg  0.5000  0.0000  0.0000
Mg  0.0000  0.2333  0.9998
Mg  0.0000  0.7667  0.0002
Cd  0.5000  0.2605  0.5204
Cd  0.5000  0.7395  0.4796
In  0.0000  0.6074  0.2149
In  0.0000  0.3926  0.7851
In  0.0000  0.1379  0.2758
In  0.0000  0.8621  0.7242
In  0.5000  0.6224  0.7368
In  0.5000  0.1140  0.7360
In  0.5000  0.8860  0.2640
In  0.5000  0.3776  0.2632

Computed properties:
ρ ... 5.801 g/cm³
ΔE_f ... 0.03 eV per atom
Magnetization ... 0.000 Bohr magnetons per cell

---

No. 2
Computed, not measured: a relaxed structure of Mg9CdIn2 at the PBE level of DFT.

abc: 4.4776 4.4776 13.4504
angles: 90.00 90.00 90.00
Fractional positions:
Mg  0.5000  0.5000  0.0000
Mg  0.5000  0.5000  0.3313
Mg  0.5000  0.5000  0.6687
Mg  0.5000  0.0000  0.1637
Mg  0.5000  0.0000  0.5000
Mg  0.5000  0.0000  0.8363
Mg  0.0000  0.5000  0.1637
Mg  0.0000  0.5000  0.5000
Mg  0.0000  0.5000  0.8363
Cd  0.0000  0.0000  0.0000
In  0.0000  0.0000  0.3318
In  0.0000  0.0000  0.6682

Computed properties:
ρ ... 3.453 g/cm³
ΔE_f ... -0.08 eV per atom
Magnetization ... 0.000 Bohr magnetons per cell

---

No. 3
Computed, not measured: a relaxed structure of Mg15CdIn4 at the PBE level of DFT.

abc: 4.5320 4.5320 22.0076
angles: 90.00 90.00 90.00
Fractional positions:
Mg  0.5000  0.5000  0.0000
Mg  0.5000  0.5000  0.1991
Mg  0.5000  0.5000  0.3997
Mg  0.5000  0.5000  0.6003
Mg  0.5000  0.5000  0.8009
Mg  0.5000  0.0000  0.0989
Mg  0.5000  0.0000  0.2995
Mg  0.5000  0.0000  0.5000
Mg  0.5000  0.0000  0.7005
Mg  0.5000  0.0000  0.9011
Mg  0.0000  0.5000  0.0989
Mg  0.0000  0.5000  0.2995
Mg  0.0000  0.5000  0.5000
Mg  0.0000  0.5000  0.7005
Mg  0.0000  0.5000  0.9011
Cd  0.0000  0.0000  0.0000
In  0.0000  0.0000  0.1992
In  0.0000  0.0000  0.3995
In  0.0000  0.0000  0.6005
In  0.0000  0.0000  0.8008

Computed properties:
ρ ... 3.440 g/cm³
ΔE_f ... -0.08 eV per atom
Magnetization ... 0.000 Bohr magnetons per cell

---

No. 4
Computed, not measured: a relaxed structure of Mg7Cd12In at the PBE level of DFT.

abc: 6.0042 9.9796 9.9796
angles: 63.92 78.43 101.57
Fractional positions:
Mg  0.8423  0.1914  0.1612
Mg  0.9966  0.8388  0.3526
Mg  0.3492  0.3526  0.8086
Mg  0.5000  0.0000  0.0000
Mg  0.6508  0.6474  0.1914
Mg  0.0034  0.1612  0.6474
Mg  0.1577  0.8086  0.8388
Cd  0.7615  0.5053  0.9769
Cd  0.2615  0.0231  0.4822
Cd  0.3498  0.1962  0.1435
Cd  0.5067  0.8565  0.3397
Cd  0.7437  0.4822  0.4947
Cd  0.8464  0.3397  0.8038
Cd  0.1536  0.6603  0.1962
Cd  0.2563  0.5178  0.5053
Cd  0.4933  0.1435  0.6603
Cd  0.6502  0.8038  0.8565
Cd  0.7385  0.9769  0.5178
Cd  0.2385  0.4947  0.0231
In  0.0000  0.0000  0.0000

Computed properties:
Excess energy over the best structure of this formula in the dataset ... 58.5 meV/atom
ρ ... 5.459 g/cm³
ΔE_f ... 0.02 eV per atom
Magnetization ... 0.000 Bohr magnetons per cell

---

No. 5
Computed, not measured: a relaxed structure of Mg2CdIn at the PBE level of DFT.

abc: 5.3955 5.3955 3.2541
angles: 89.98 89.98 107.35
Fractional positions:
Mg  0.0000  0.0000  0.0000
Mg  0.5000  0.5000  0.0000
Cd  0.5000  0.0000  0.5000
In  0.0000  0.5000  0.5000

Computed properties:
ρ ... 5.066 g/cm³
ΔE_f ... -0.09 eV per atom
Magnetization ... 0.000 Bohr magnetons per cell

---

No. 6
Computed, not measured: a relaxed structure of MgCd11In17 at the PBE level of DFT.

abc: 9.8670 9.8670 9.8540
angles: 109.52 109.52 109.49
Fractional positions:
Mg  0.3722  0.3722  0.1871
Cd  0.1910  0.1910  0.8131
Cd  0.6248  0.8114  0.9991
Cd  0.1866  0.3752  0.3778
Cd  0.8117  0.0013  0.6214
Cd  0.6255  0.0017  0.8097
Cd  0.8111  0.1892  0.1888
Cd  0.1892  0.8111  0.1888
Cd  0.0017  0.6255  0.8097
Cd  0.0013  0.8117  0.6214
Cd  0.3752  0.1866  0.3778
Cd  0.8114  0.6248  0.9991
In  0.9945  0.9945  0.3354
In  0.6849  0.6849  0.2813
In  0.6683  0.6683  0.6636
In  0.4121  0.4121  0.7203
In  0.0047  0.0047  0.0026
In  0.3101  0.5896  0.0007
In  0.4056  0.7138  0.4074
In  0.0006  0.3111  0.5891
In  0.0032  0.3363  0.0028
In  0.2831  0.6940  0.6934
In  0.5894  0.9971  0.3079
In  0.9971  0.5894  0.3079
In  0.6940  0.2831  0.6934
In  0.3363  0.0032  0.0028
In  0.3111  0.0006  0.5891
In  0.7138  0.4056  0.4074
In  0.5896  0.3101  0.0007

Computed properties:
ρ ... 7.235 g/cm³
ΔE_f ... 0.01 eV per atom
Magnetization ... 0.000 Bohr magnetons per cell

---

What is the formula in the fifth record? Mg2CdIn